1.
Rb2MgMoI | PBE | optimized geometry

Properties
E   -2.3720 eV/atom

Unit cell a=6.8855 b=6.8855 c=6.4580 alpha=90.00 beta=90.00 gamma=90.00
Last column: nearest neighbours and their distance in Å.
Space group P4/mmm (No. 123)
Inequivalent atoms, fractional coordinates:
Rb: 0.0000 0.5000 0.0000 x2  2 I 3.44
Mg: 0.0000 0.0000 0.5000 x1  2 I 3.23
Mo: 0.5000 0.5000 0.5000 x1  8 Rb 4.72, 4 Mg 4.87
I: 0.0000 0.0000 0.0000 x1  2 Mg 3.23, 4 Rb 3.44


2.
RbMg2MoI | PBE | optimized geometry

Properties
E   -2.2306 eV/atom

Unit cell a=6.6377 b=6.6377 c=5.5200 alpha=90.00 beta=90.00 gamma=90.00
Last column: nearest neighbours and their distance in Å.
Space group P4/mmm (No. 123)
Inequivalent atoms, fractional coordinates:
Rb: 0.0000 0.0000 0.0000 x1  8 Mg 4.32, 4 Mo 4.69
Mg: 0.0000 0.5000 0.5000 x2  2 I 3.32
Mo: 0.5000 0.5000 0.0000 x1  2 I 2.76
I: 0.5000 0.5000 0.5000 x1  2 Mo 2.76


3.
Rb2MgMoI6 | PBE | optimized geometry

Properties
E   -3.1216 eV/atom

Unit cell a=11.7534 b=11.7534 c=11.7534 alpha=90.00 beta=90.00 gamma=90.00
Last column: nearest neighbours and their distance in Å.
Space group Fm-3m (No. 225)
Inequivalent atoms, fractional coordinates:
Rb: 0.2500 0.2500 0.2500 x8  12 I 4.16
Mg: 0.0000 0.0000 0.0000 x4  6 I 2.97
Mo: 0.0000 0.0000 0.5000 x4  6 I 2.90
I: 0.0000 0.0000 0.2529 x24  1 Mo 2.90, 1 Mg 2.97


4.
MgSbMoI2 | PBE | optimized geometry

Properties
E   -3.4903 eV/atom
E above lowest polymorph   0 meV per atom

Unit cell a=5.6385 b=5.6385 c=5.3360 alpha=90.00 beta=90.00 gamma=90.00
Last column: nearest neighbours and their distance in Å.
Space group P4/mmm (No. 123)
Inequivalent atoms, fractional coordinates:
Mg: 0.0000 0.0000 0.0000 x1  8 I 3.88, 4 Sb 3.99
Sb: 0.5000 0.5000 0.0000 x1  2 Mo 2.67
Mo: 0.5000 0.5000 0.5000 x1  2 Sb 2.67, 4 I 2.82
I: 0.0000 0.5000 0.5000 x2  2 Mo 2.82


5.
MgSbMoI2 | PBE | optimized geometry

Properties
E   -3.0922 eV/atom
E above lowest polymorph   398 meV per atom

Unit cell a=5.5973 b=5.5973 c=5.6121 alpha=90.00 beta=90.00 gamma=90.00
Last column: nearest neighbours and their distance in Å.
Space group P4/mmm (No. 123)
Inequivalent atoms, fractional coordinates:
Mg: 0.0000 0.0000 0.0000 x1  4 I 2.80, 2 Sb 2.81
Sb: 0.0000 0.0000 0.5000 x1  2 Mg 2.81
Mo: 0.5000 0.5000 0.5000 x1  4 Sb 3.96, 8 I 3.96
I: 0.0000 0.5000 0.0000 x2  2 Mg 2.80


6.
MgMo2Se4I2 | PBE | optimized geometry

Properties
E   -5.0270 eV/atom

Unit cell a=3.5456 b=3.5456 c=22.4522 alpha=90.00 beta=90.00 gamma=120.00
Last column: nearest neighbours and their distance in Å.
Space group P3m1 (No. 156)
Inequivalent atoms, fractional coordinates:
Mg: 0.0000 0.0000 0.0000 x1  6 I 2.83
Mo: 0.0000 0.0000 0.6461 x1  6 Se 2.60
Mo: 0.6667 0.3333 0.3340 x1  6 Se 2.60
Se: 0.0000 0.0000 0.2627 x1  3 Mo 2.60
Se: 0.0000 0.0000 0.4055 x1  3 Mo 2.60
Se: 0.6667 0.3333 0.5747 x1  3 Mo 2.60
Se: 0.6667 0.3333 0.7174 x1  3 Mo 2.60
I: 0.6667 0.3333 0.0869 x1  3 Mg 2.83
I: 0.6667 0.3333 0.9131 x1  3 Mg 2.83


7.
MgTeMoI2 | PBE | optimized geometry

Properties
E   -3.4390 eV/atom
E above lowest polymorph   0 meV per atom

Unit cell a=5.6687 b=5.6687 c=5.3202 alpha=90.00 beta=90.00 gamma=90.00
Last column: nearest neighbours and their distance in Å.
Space group P4/mmm (No. 123)
Inequivalent atoms, fractional coordinates:
Mg: 0.0000 0.0000 0.0000 x1  8 I 3.89, 4 Te 4.01
Te: 0.5000 0.5000 0.0000 x1  2 Mo 2.66
Mo: 0.5000 0.5000 0.5000 x1  2 Te 2.66, 4 I 2.83
I: 0.0000 0.5000 0.5000 x2  2 Mo 2.83


8.
MgTeMoI2 | PBE | optimized geometry

Properties
E   -3.1420 eV/atom
E above lowest polymorph   297 meV per atom

Unit cell a=5.5375 b=5.5375 c=5.7234 alpha=90.00 beta=90.00 gamma=90.00
Last column: nearest neighbours and their distance in Å.
Space group P4/mmm (No. 123)
Inequivalent atoms, fractional coordinates:
Mg: 0.0000 0.0000 0.0000 x1  4 I 2.77, 2 Te 2.86
Te: 0.0000 0.0000 0.5000 x1  2 Mg 2.86
Mo: 0.5000 0.5000 0.5000 x1  4 Te 3.92, 8 I 3.98
I: 0.0000 0.5000 0.0000 x2  2 Mg 2.77


9.
MgTe2MoI | PBE | optimized geometry

Properties
E   -3.7319 eV/atom
E above lowest polymorph   0 meV per atom

Unit cell a=5.2631 b=5.2631 c=5.8270 alpha=90.00 beta=90.00 gamma=90.00
Last column: nearest neighbours and their distance in Å.
Space group P4/mmm (No. 123)
Inequivalent atoms, fractional coordinates:
Mg: 0.0000 0.0000 0.0000 x1  4 I 3.72, 8 Te 3.93
Te: 0.0000 0.5000 0.5000 x2  2 Mo 2.63
Mo: 0.5000 0.5000 0.5000 x1  4 Te 2.63, 2 I 2.91
I: 0.5000 0.5000 0.0000 x1  2 Mo 2.91


10.
MgTe2MoI | PBE | optimized geometry

Properties
E   -3.2917 eV/atom
E above lowest polymorph   440 meV per atom

Unit cell a=5.4969 b=5.4969 c=5.5027 alpha=90.00 beta=90.00 gamma=90.00
Last column: nearest neighbours and their distance in Å.
Space group P4/mmm (No. 123)
Inequivalent atoms, fractional coordinates:
Mg: 0.0000 0.0000 0.0000 x1  4 Te 2.75, 2 I 2.75
Te: 0.0000 0.5000 0.0000 x2  2 Mg 2.75
Mo: 0.5000 0.5000 0.5000 x1  4 I 3.89, 8 Te 3.89
I: 0.0000 0.0000 0.5000 x1  2 Mg 2.75


11.
MgI2N2 | PBE | optimized geometry

Properties
E   -2.8846 eV/atom
E above lowest polymorph   2012 meV per atom

Unit cell a=6.0294 b=6.0294 c=4.0218 alpha=90.00 beta=90.00 gamma=90.00
Last column: nearest neighbours and their distance in Å.
Space group P4/mmm (No. 123)
Inequivalent atoms, fractional coordinates:
Mg: 0.0000 0.0000 0.0000 x1  2 N 2.01
I: 0.0000 0.5000 0.0000 x2  2 Mg 3.01
N: 0.0000 0.0000 0.5000 x1  2 Mg 2.01
N: 0.5000 0.5000 0.5000 x1  8 I 3.62, 2 N 4.02


12.
MgI2N2 | PBE | optimized geometry

Properties
E   -3.0109 eV/atom
E above lowest polymorph   1886 meV per atom

Unit cell a=4.4873 b=4.4873 c=6.4195 alpha=90.00 beta=90.00 gamma=90.00
Last column: nearest neighbours and their distance in Å.
Space group P4/mmm (No. 123)
Inequivalent atoms, fractional coordinates:
Mg: 0.0000 0.0000 0.0000 x1  4 N 2.24
I: 0.0000 0.0000 0.5000 x1  4 I 3.17, 2 Mg 3.21
I: 0.5000 0.5000 0.5000 x1  4 I 3.17
N: 0.0000 0.5000 0.0000 x2  2 Mg 2.24